9
Lattice="7.6228 -0.0014 -0.0020 -3.6207 6.7080 0.0020 -3.6207 -2.3868 6.2690" Properties=species:S:1:pos:R:3 comment="Cs2UCl5F | Alexandria | PBE | relaxed" formation_energy_uncorrected_ev_per_atom=-2.172 space_group="I4mm, No. 107" pbc="T T T"
Cl -3.5811 -0.2253 4.7290
Cs 0.2265 4.4122 1.5367
Cl -3.5811 4.4993 1.4735
F -5.7611 3.4379 4.9892
Cl -1.5021 3.2587 4.7290
Cs 0.2265 -0.1352 4.6702
Cl -1.7565 1.0481 1.5211
Cl 1.9626 1.0140 1.4715
U -7.1951 4.2936 6.2310